The following is a GGA-PBE calculation of an optimized crystal structure of TaCr2Te6, from the Alexandria database.

Results
Distance to the lowest polymorph of the same formula = 0 meV/atom
Density of states at the Fermi level = 0.40 states/eV per atom

Cell lengths 14.5176, 3.7604, 11.0791 Å; angles 90.00, 120.78, 90.00 degrees
With the nearest neighbours (Å) after each atom.
Space group C2/m (No. 12)
Unique sites:
Ta  0.0000  0.0000  0.0000  6 Te 2.79-2.81
Cr  0.1596  0.5000  0.3213  6 Te 2.70-2.72
Te  0.0064  0.0000  0.2561  2 Cr 2.71, 1 Ta 2.79
Te  0.1659  0.5000  0.0820  1 Cr 2.70, 2 Ta 2.81
Te  0.1836  0.5000  0.5813  3 Cr 2.71-2.72

The following is a GGA-PBE calculation of an optimized crystal structure of TaCrTe2, from the Alexandria database.

Results
Distance to the lowest polymorph of the same formula = 666 meV/atom
Density of states at the Fermi level = 1.12 states/eV per atom

Cell lengths 4.0689, 4.0689, 10.1244 Å; angles 90.00, 90.00, 90.00 degrees
With the nearest neighbours (Å) after each atom.
Space group I-4m2 (No. 119)
Unique sites:
Ta  0.0000  0.0000  0.0000  4 Te 2.88
Cr  0.0000  0.5000  0.2500  4 Te 2.88
Te  0.0000  0.0000  0.5000  4 Ta 2.88
Te  0.0000  0.5000  0.7500  4 Cr 2.88

The following is a GGA-PBE calculation of an optimized crystal structure of TaCrTe2, from the Alexandria database.

Results
Distance to the lowest polymorph of the same formula = 422 meV/atom
Density of states at the Fermi level = 0.63 states/eV per atom

Cell lengths 8.4527, 3.5863, 6.0552 Å; angles 90.00, 99.98, 90.00 degrees
With the nearest neighbours (Å) after each atom.
Space group C2/m (No. 12)
Unique sites:
Ta  0.0000  0.0000  0.0000  6 Te 2.83-2.91
Cr  0.0000  0.5000  0.5000  2 Te 2.71
Te  0.2277  0.5000  0.2358  1 Cr 2.71, 3 Ta 2.83-2.91

The following is a GGA-PBE calculation of an optimized crystal structure of Ta2CrTe, from the Alexandria database.

Results
Electronic total energy = -8.92 eV per atom
Density of states at the Fermi level = 0.86 states/eV per atom

Cell lengths 3.4535, 3.4535, 6.1128 Å; angles 90.00, 90.00, 90.00 degrees
With the nearest neighbours (Å) after each atom.
Space group P4mm (No. 99)
Unique sites:
Ta  0.0000  0.0000  0.0000  4 Cr 2.78, 4 Ta 2.91, 1 Te 2.96
Ta  0.5000  0.5000  0.2585  2 Cr 2.90-3.21, 4 Te 2.90, 4 Ta 2.91
Cr  0.5000  0.5000  0.7838  5 Ta 2.78-2.90, 4 Te 2.94
Te  0.0000  0.0000  0.5155  6 Ta 2.90-3.15, 4 Cr 2.94

The following is a GGA-PBE calculation of an optimized crystal structure of Ta2CrTe, from the Alexandria database.

Results
Electronic total energy = -8.52 eV per atom
Density of states at the Fermi level = 0.90 states/eV per atom

Cell lengths 3.9623, 3.9623, 20.1874 Å; angles 90.00, 90.00, 90.00 degrees
With the nearest neighbours (Å) after each atom.
Space group I-42d (No. 122)
Unique sites:
Ta  0.2473  0.2500  0.1250  4 Ta 2.79-2.82, 2 Cr 2.88, 2 Te 2.89
Cr  0.0000  0.0000  0.0000  4 Te 2.80, 4 Ta 2.88
Te  0.0000  0.0000  0.5000  4 Cr 2.80, 4 Ta 2.89

The following is a GGA-PBE calculation of an optimized crystal structure of Ta2CrTe, from the Alexandria database.

Results
Electronic total energy = -8.89 eV per atom
Density of states at the Fermi level = 0.73 states/eV per atom

Cell lengths 3.4169, 4.4974, 9.0168 Å; angles 90.00, 90.00, 90.00 degrees
With the nearest neighbours (Å) after each atom.
Space group Immm (No. 71)
Unique sites:
Ta  0.0000  0.0000  0.2403  2 Cr 2.76, 4 Ta 2.83, 2 Te 2.90
Cr  0.0000  0.5000  0.5000  4 Ta 2.76, 4 Te 2.82
Te  0.0000  0.5000  0.0000  4 Cr 2.82, 8 Ta 2.90-3.12

The following is a GGA-PBE calculation of an optimized crystal structure of Ta2CrTe, from the Alexandria database.

Results
Electronic total energy = -8.71 eV per atom
Density of states at the Fermi level = 0.97 states/eV per atom

Cell lengths 3.5663, 4.9802, 8.3600 Å; angles 90.00, 90.00, 90.00 degrees
With the nearest neighbours (Å) after each atom.
Space group Cmm2 (No. 35)
Unique sites:
Ta  0.0000  0.0000  0.0000  6 Ta 2.79-3.06, 2 Te 2.88
Ta  0.0000  0.5000  0.2566  2 Cr 2.63, 2 Ta 2.79
Cr  0.0000  0.0000  0.4882  2 Ta 2.63, 2 Te 2.69
Te  0.0000  0.5000  0.7290  2 Cr 2.69, 2 Ta 2.88

The following is a GGA-PBE calculation of an optimized crystal structure of TaCrTe3, from the Alexandria database.

Results
Distance to the lowest polymorph of the same formula = 350 meV/atom
Density of states at the Fermi level = 0.74 states/eV per atom

Cell lengths 5.1000, 5.1000, 5.1000 Å; angles 90.00, 90.00, 90.00 degrees
With the nearest neighbours (Å) after each atom.
Space group Pm-3m (No. 221)
Unique sites:
Ta  0.0000  0.0000  0.0000  12 Te 3.61
Cr  0.5000  0.5000  0.5000  6 Te 2.55
Te  0.0000  0.5000  0.5000  2 Cr 2.55

The following is a GGA-PBE calculation of an optimized crystal structure of TaCr3Te, from the Alexandria database.

Results
Distance to the lowest polymorph of the same formula = 231 meV/atom
Density of states at the Fermi level = 1.18 states/eV per atom

Cell lengths 4.7712, 4.7712, 4.7712 Å; angles 90.00, 90.00, 90.00 degrees
With the nearest neighbours (Å) after each atom.
Space group Pm-3m (No. 221)
Unique sites:
Ta  0.0000  0.0000  0.0000  12 Cr 3.37
Cr  0.0000  0.5000  0.5000  2 Te 2.39
Te  0.5000  0.5000  0.5000  6 Cr 2.39

The following is a GGA-PBE calculation of an optimized crystal structure of TaCr3Te, from the Alexandria database.

Results
Distance to the lowest polymorph of the same formula = 0 meV/atom
Density of states at the Fermi level = 0.75 states/eV per atom

Cell lengths 4.8094, 4.8094, 4.8094 Å; angles 90.00, 90.00, 90.00 degrees
With the nearest neighbours (Å) after each atom.
Space group Pm-3m (No. 221)
Unique sites:
Ta  0.0000  0.0000  0.0000  6 Cr 2.40
Cr  0.0000  0.0000  0.5000  2 Ta 2.40
Te  0.5000  0.5000  0.5000  12 Cr 3.40

The following is a GGA-PBE calculation of an optimized crystal structure of Ta2CrTe, from the Alexandria database.

Results
Electronic total energy = -8.78 eV per atom
Density of states at the Fermi level = 0.83 states/eV per atom

Cell lengths 5.7508, 7.3554, 3.3338 Å; angles 90.00, 90.00, 90.00 degrees
With the nearest neighbours (Å) after each atom.
Space group Cmmm (No. 65)
Unique sites:
Ta  0.2500  0.2500  0.0000  4 Cr 2.87, 4 Te 2.87, 2 Ta 2.88
Cr  0.0000  0.0000  0.5000  8 Ta 2.87, 2 Te 2.88
Te  0.0000  0.5000  0.5000  8 Ta 2.87, 2 Cr 2.88

The following is a GGA-PBE calculation of an optimized crystal structure of TaCrTe, from the Alexandria database.

Results
Distance to the lowest polymorph of the same formula = 464 meV/atom
Density of states at the Fermi level = 0.77 states/eV per atom

Cell lengths 3.7332, 5.0214, 12.0034 Å; angles 90.00, 90.00, 90.00 degrees
With the nearest neighbours (Å) after each atom.
Space group Fmm2 (No. 42)
Unique sites:
Ta  0.0000  0.0000  0.0000  2 Cr 2.59
Cr  0.0000  0.0000  0.6492  2 Ta 2.59, 2 Te 2.73
Te  0.0000  0.0000  0.3151  2 Cr 2.73, 2 Ta 2.90

The following is a GGA-PBE calculation of an optimized crystal structure of TaCrTe2, from the Alexandria database.

Results
Distance to the lowest polymorph of the same formula = 382 meV/atom
Density of states at the Fermi level = 0.55 states/eV per atom

Cell lengths 3.6057, 3.6057, 27.5946 Å; angles 90.00, 90.00, 120.00 degrees
With the nearest neighbours (Å) after each atom.
Space group R-3m (No. 166, hexagonal axes)
Unique sites:
Ta  0.0000  0.0000  0.0000  6 Te 2.80
Cr  0.0000  0.0000  0.5000  2 Te 2.73
Te  0.0000  0.0000  0.4012  1 Cr 2.73, 3 Ta 2.80

The following is a GGA-PBE calculation of an optimized crystal structure of TaCrTe2, from the Alexandria database.

Results
Distance to the lowest polymorph of the same formula = 328 meV/atom
Density of states at the Fermi level = 0.48 states/eV per atom

Cell lengths 3.6580, 3.6580, 23.6129 Å; angles 90.00, 90.00, 120.00 degrees
With the nearest neighbours (Å) after each atom.
Space group R-3m (No. 166, hexagonal axes)
Unique sites:
Ta  0.0000  0.0000  0.0000  6 Te 2.85
Cr  0.0000  0.0000  0.5000  6 Te 2.92
Te  0.0000  0.0000  0.2522  3 Ta 2.85, 3 Cr 2.92